# 1
A plane-wave DFT calculation with meta-GGA SCAN was carried out for a PBEsol-optimized structure of CaMnSi2.

Cell and atoms, written as CIF:
```
data_CaMnSi2
_cell_length_a 7.3149
_cell_length_b 3.6412
_cell_length_c 5.5067
_cell_angle_alpha 90.00
_cell_angle_beta 109.86
_cell_angle_gamma 90.00
_space_group_name_H-M_alt 'C 1 2/m 1'
_space_group_IT_number 12
_space_group_name_Hall '-C 2y'
loop_
_atom_site_label
_atom_site_type_symbol
_atom_site_fract_x
_atom_site_fract_y
_atom_site_fract_z
_atom_site_occupancy
Ca1 Ca 0.0000 0.0000 0.0000 1
Mn1 Mn 0.0000 0.5000 0.5000 1
Si1 Si 0.2174 0.0000 0.6213 1
```

Output
- Formation energy (no corrections): -332 meV/atom
- Spin magnetization: 0.6997 μB per atom
- Fermi-level density of states: 3.37 states/eV per cell



# 2
A plane-wave DFT calculation with meta-GGA SCAN was carried out for a PBEsol-optimized structure of YScCr.

Cell and atoms, written as CIF:
```
data_YScCr
_cell_length_a 6.6904
_cell_length_b 6.6904
_cell_length_c 6.6904
_cell_angle_alpha 90.00
_cell_angle_beta 90.00
_cell_angle_gamma 90.00
_space_group_name_H-M_alt 'F -4 3 m'
_space_group_IT_number 216
_space_group_name_Hall 'F -4 2 3'
loop_
_atom_site_label
_atom_site_type_symbol
_atom_site_fract_x
_atom_site_fract_y
_atom_site_fract_z
_atom_site_occupancy
Y1 Y 0.0000 0.0000 0.0000 1
Sc1 Sc 0.2500 0.2500 0.2500 1
Cr1 Cr 0.0000 0.0000 0.5000 1
```

Output
- Calculated formation energy: 0.884 eV per atom
- Spin magnetization: 1.3746 μB per atom
- Fermi-level density of states: 13.96 states/eV per cell